# 1
Entry from Alexandria via LeMat-Bulk: a relaxed ScNbC crystal (PBE).

formation enthalpy at 0 K	-0.515	eV per atom
symmetry	Pmmn
uncorrected energy	-54.34	eV/cell

Lattice parameters (Å, degrees): 3.2711 4.4099 6.5685 90.00 89.99 90.00
Positions (direct):
Sc  0.2499  0.2500  0.3631
Sc  0.7501  0.7500  0.6369
Nb  0.2500  0.2500  0.8997
Nb  0.7500  0.7500  0.1003
C  0.7500  0.2500  0.1280
C  0.2500  0.7500  0.8720


# 2
Entry from Alexandria via LeMat-Bulk: a relaxed Sc2NbSnC crystal (PBE).

formation enthalpy at 0 K	-0.559	eV per atom
symmetry	P4/mmm
uncorrected energy	-38.75	eV/cell

Lattice parameters (Å, degrees): 4.5503 4.5503 4.3187 90.00 90.00 90.00
Positions (direct):
Sc  0.0000  0.5000  0.0000
Sc  0.5000  0.0000  0.0000
C  0.0000  0.0000  0.0000
Nb  0.0000  0.0000  0.5000
Sn  0.5000  0.5000  0.5000


# 3
Entry from Alexandria via LeMat-Bulk: a relaxed Sc2TaNbC4 crystal (PBE).

formation enthalpy at 0 K	-0.628	eV per atom
symmetry	P2/m
uncorrected energy	-76.51	eV/cell

Lattice parameters (Å, degrees): 3.2092 5.5477 5.6278 109.13 90.00 90.00
Positions (direct):
Sc  0.5000  0.0000  0.5000
Sc  0.0000  0.5000  0.5000
Ta  0.5000  0.5000  0.0000
Nb  0.0000  0.0000  0.0000
C  0.5000  0.2470  0.2367
C  0.5000  0.7530  0.7633
C  0.0000  0.2564  0.7646
C  0.0000  0.7436  0.2354


# 4
Entry from Alexandria via LeMat-Bulk: a relaxed ScTaNbC3 crystal (PBE).

formation enthalpy at 0 K	-0.422	eV per atom
symmetry	P2_1/m
uncorrected energy	-116.91	eV/cell

Lattice parameters (Å, degrees): 3.2594 5.4001 8.4099 100.97 90.00 90.00
Positions (direct):
Sc  0.7500  0.6490  0.6920
Sc  0.2500  0.3510  0.3080
Ta  0.2500  0.1420  0.6381
Ta  0.7500  0.8580  0.3619
Nb  0.2500  0.7663  0.0441
Nb  0.7500  0.2337  0.9559
C  0.2500  0.7502  0.4933
C  0.7500  0.0393  0.1550
C  0.7500  0.5459  0.1625
C  0.7500  0.2498  0.5067
C  0.2500  0.4541  0.8375
C  0.2500  0.9607  0.8450


# 5
Entry from Alexandria via LeMat-Bulk: a relaxed ScTaNb2C4 crystal (PBE).

formation enthalpy at 0 K	-0.600	eV per atom
symmetry	P2/m
uncorrected energy	-80.02	eV/cell

Lattice parameters (Å, degrees): 3.1846 5.5363 5.5404 109.18 90.00 90.00
Positions (direct):
Sc  0.5000  0.5000  0.0000
Ta  0.0000  0.0000  0.0000
Nb  0.5000  0.0000  0.5000
Nb  0.0000  0.5000  0.5000
C  0.5000  0.2450  0.2486
C  0.5000  0.7550  0.7514
C  0.0000  0.2421  0.7451
C  0.0000  0.7579  0.2549


# 6
Entry from Alexandria via LeMat-Bulk: a relaxed ScNb2TcC crystal (PBE).

formation enthalpy at 0 K	1.925	eV per atom
symmetry	P4/mmm
uncorrected energy	-36.44	eV/cell

Lattice parameters (Å, degrees): 4.7139 5.0382 4.7139 90.00 90.00 90.00
Positions (direct):
Sc  0.0000  0.5000  0.0000
C  0.5000  0.5000  0.5000
Nb  0.0000  0.0000  0.5000
Nb  0.5000  0.0000  0.0000
Tc  0.0000  0.0000  0.0000


# 7
Entry from Alexandria via LeMat-Bulk: a relaxed Sc2NbTlC crystal (PBE).

formation enthalpy at 0 K	-0.407	eV per atom
symmetry	P4/mmm
uncorrected energy	-36.36	eV/cell

Lattice parameters (Å, degrees): 4.5499 4.5499 4.3638 90.00 90.00 90.00
Site moments in Bohr magnetons follow the coordinates.
Positions (direct):
Sc  0.0000  0.5000  0.0000  0.03
Sc  0.5000  0.0000  0.0000  0.03
C  0.0000  0.0000  0.0000  -0.01
Tl  0.5000  0.5000  0.5000  -0.01
Nb  0.0000  0.0000  0.5000  0.30


# 8
Entry from Alexandria via LeMat-Bulk: a relaxed Sc2UNbC4 crystal (PBE).

formation enthalpy at 0 K	-0.476	eV per atom
symmetry	P2/m
uncorrected energy	-74.73	eV/cell

Lattice parameters (Å, degrees): 3.3331 5.7049 5.8071 70.77 90.00 90.00
Positions (direct):
Sc  0.0000  0.0000  0.0000
Sc  0.5000  0.0000  0.5000
U  0.0000  0.5000  0.5000
Nb  0.5000  0.5000  0.0000
C  0.0000  0.7344  0.7560
C  0.0000  0.2656  0.2439
C  0.5000  0.7347  0.2462
C  0.5000  0.2653  0.7538


| no. | spin magnetization (μB/f.u.) |
| --- | --- |
| 1 | 0.00 |
| 2 | 0.00 |
| 3 | 0.00 |
| 4 | 0.00 |
| 5 | 0.00 |
| 6 | 0.00 |
| 7 | 0.41 |
| 8 | 0.00 |